VASP calculation (GGA-PBE) on a relaxed structure of CaY2Si.

The total energy comes out at -5.15 eV per atom. The calculation puts the formation energy from raw total energies at -0.057 eV/atom.

Geometry as POSCAR:
```
CaY2Si
1.0
-5.7312 5.3486 7.0700
-6.5280 1.9328 8.0678
-3.4978 3.5358 9.3114
Ca Y Si
1 2 1
direct
0.4821 0.4821 0.4821
0.0158 0.0158 0.0158
0.2542 0.2542 0.2542
0.7478 0.7478 0.7478
```

=====

VASP calculation (GGA-PBE) on a relaxed structure of CaY2Si.

The total energy comes out at -5.27 eV per atom. The calculation puts the formation energy from raw total energies at -0.183 eV/atom.

Geometry as POSCAR:
```
CaY2Si
1.0
3.5189 0.0000 0.0000
0.0000 3.5189 0.0000
0.0000 0.0000 9.2424
Si Y Ca
1 2 1
direct
0.5000 0.5000 0.7600
0.5000 0.5000 0.2352
0.0000 0.0000 0.9454
0.0000 0.0000 0.5594
```

=====

VASP calculation (GGA-PBE) on a relaxed structure of Ca2YSi.

The total energy comes out at -3.93 eV per atom. The calculation puts the formation energy from raw total energies at 0.040 eV/atom.

Geometry as POSCAR:
```
Ca2YSi
1.0
-3.5181 2.4586 10.0789
-3.8599 -1.1842 10.1836
-0.6328 0.3734 10.9301
Ca Y Si
2 1 1
direct
0.5183 0.5183 0.5183
0.9817 0.9817 0.9817
0.7500 0.7500 0.7500
0.2500 0.2500 0.2500
```

=====

VASP calculation (GGA-PBE) on a relaxed structure of CaY2Si.

The total energy comes out at -5.21 eV per atom. The calculation puts the formation energy from raw total energies at -0.124 eV/atom.

Geometry as POSCAR:
```
CaY2Si
1.0
-1.9535 -5.8127 -0.7637
-0.6608 -3.5337 5.0263
-1.7037 5.6471 -1.8424
Ca Y Si
1 2 1
direct
0.5000 0.5000 0.0000
0.0000 0.0000 0.0000
0.2500 0.7500 0.5000
0.7500 0.2500 0.5000
```

=====

Look up the formation energy from raw total energies of the third one.
0.040 eV/atom

=====

What is the formation energy from raw total energies in the fourth record?
-0.124 eV/atom

=====

What is the formation energy from raw total energies in the third record?
0.040 eV/atom